Computed, not measured: an optimized crystal structure of CrSi3 at the GGA-PBE level of DFT.

Lattice parameters (Å, degrees): 3.0760 6.6047 5.4378 90.00 90.00 90.00
Last column: nearest neighbours and their distance in Å.
Element x y z (fractional)
Cr 0.0000 0.0000 0.0000  8 Si 2.35-2.46
Cr 0.5000 0.5000 0.5000  8 Si 2.35-2.46
Si 0.0000 0.3175 0.7749  4 Si 2.41-2.66, 3 Cr 2.43-2.46
Si 0.0000 0.5000 0.1721  2 Cr 2.35, 2 Si 2.47
Si 0.0000 0.6825 0.7749  4 Si 2.41-2.66, 3 Cr 2.43-2.46
Si 0.5000 0.0000 0.6721  2 Cr 2.35, 2 Si 2.47
Si 0.5000 0.1825 0.2749  4 Si 2.41-2.66, 3 Cr 2.43-2.46
Si 0.5000 0.8175 0.2749  4 Si 2.41-2.66, 3 Cr 2.43-2.46

Summary:
The space-group type is Imm2 (44). The value obtained for the total DFT energy (no corrections) is -26.1 eV/f.u. The value obtained for the theoretical density is 4.1 g cm⁻³. The uncorrected formation energy is -0.05 eV per atom. For the spin magnetization, the calculation gives 0.00 μB/f.u.



Computed, not measured: an optimized crystal structure of CrSi3 at the GGA-PBE level of DFT.

Lattice parameters (Å, degrees): 2.8491 2.8491 7.6956 90.00 90.00 120.00
Last column: nearest neighbours and their distance in Å.
Element x y z (fractional)
Cr 0.0000 0.0000 0.0000  6 Si 2.41
Si 0.0000 0.0000 0.5000  12 Si 2.66-2.85
Si 0.6667 0.3333 0.2290  3 Cr 2.41, 3 Si 2.66
Si 0.6667 0.3333 0.7710  3 Cr 2.41, 3 Si 2.66

Summary:
The space-group type is P-6m2 (187). The value obtained for the total DFT energy (no corrections) is -24.9 eV/f.u. The value obtained for the theoretical density is 4.2 g cm⁻³. The uncorrected formation energy is 0.24 eV per atom. For the spin magnetization, the calculation gives 0.51 μB/f.u.



Computed, not measured: an optimized crystal structure of Cr3Si at the GGA-PBE level of DFT.

Lattice parameters (Å, degrees): 2.7143 2.7143 7.5687 90.00 90.00 120.00
Last column: nearest neighbours and their distance in Å.
Element x y z (fractional)
Cr 0.0000 0.0000 0.0000  12 Cr 2.44-2.71
Cr 0.3333 0.6667 0.2475  9 Cr 2.44-2.71, 3 Si 2.47
Cr 0.3333 0.6667 0.7525  9 Cr 2.44-2.71, 3 Si 2.47
Si 0.0000 0.0000 0.5000  6 Cr 2.47, 6 Si 2.71

Summary:
The space-group type is P-6m2 (187). The value obtained for the total DFT energy (no corrections) is -33.8 eV/f.u. The value obtained for the theoretical density is 6.3 g cm⁻³. The uncorrected formation energy is 0.13 eV per atom. For the spin magnetization, the calculation gives 0.00 μB/f.u. As for the energy above the lowest structure with this stoichiometry: 487.0 meV per atom.



Computed, not measured: an optimized crystal structure of CrSi3 at the GGA-PBE level of DFT.

Lattice parameters (Å, degrees): 5.9613 5.9613 5.9613 90.00 90.00 90.00
Last column: nearest neighbours and their distance in Å.
Element x y z (fractional)
Cr 0.0000 0.0000 0.0000  8 Si 2.58
Cr 0.0000 0.5000 0.5000  8 Si 2.58
Cr 0.5000 0.0000 0.5000  8 Si 2.58
Cr 0.5000 0.5000 0.0000  8 Si 2.58
Si 0.0000 0.0000 0.5000  8 Si 2.58
Si 0.0000 0.5000 0.0000  8 Si 2.58
Si 0.2500 0.2500 0.2500  4 Cr 2.58, 4 Si 2.58
Si 0.2500 0.2500 0.7500  4 Cr 2.58, 4 Si 2.58
Si 0.2500 0.7500 0.2500  4 Cr 2.58, 4 Si 2.58
Si 0.2500 0.7500 0.7500  4 Cr 2.58, 4 Si 2.58
Si 0.5000 0.0000 0.0000  8 Si 2.58
Si 0.5000 0.5000 0.5000  8 Si 2.58
Si 0.7500 0.2500 0.2500  4 Cr 2.58, 4 Si 2.58
Si 0.7500 0.2500 0.7500  4 Cr 2.58, 4 Si 2.58
Si 0.7500 0.7500 0.2500  4 Cr 2.58, 4 Si 2.58
Si 0.7500 0.7500 0.7500  4 Cr 2.58, 4 Si 2.58

Summary:
The space-group type is Fm-3m (225). The value obtained for the total DFT energy (no corrections) is -24.2 eV/f.u. The value obtained for the theoretical density is 4.3 g cm⁻³. The uncorrected formation energy is 0.42 eV per atom. For the spin magnetization, the calculation gives 1.63 μB/f.u.